Entry a
DFT (GGA-PBE) results for a relaxed LaMn2Cr crystal.

abc: 3.982 3.982 5.879
angles: 109.82 109.82 59.56
Sites, in units of the cell vectors:
La 0.000 0.000 0.000
Mn 0.493 0.493 0.479
Mn 0.811 0.811 0.434
Cr 0.195 0.195 0.586

Computed properties:
Space-group type: Cm, No. 8

***

Entry b
DFT (GGA-PBE) results for a relaxed LaMn2Cr crystal.

abc: 5.894 5.894 5.894
angles: 40.56 40.56 40.56
Sites, in units of the cell vectors:
La 0.000 0.000 0.000
Mn 0.201 0.201 0.201
Mn 0.799 0.799 0.799
Cr 0.500 0.500 0.500

Computed properties:
Space-group type: R-3m, No. 166

***

Quick look at relative energies in kJ/mol of atoms: entry a 6.6; entry b 0.0.

***

Entry a
DFT (GGA-PBE) results for a relaxed LaMn2Cr crystal.

abc: 4.800 4.800 3.164
angles: 90.37 90.37 90.36
Sites, in units of the cell vectors:
La 0.000 0.000 0.000
Mn 0.000 0.500 0.500
Mn 0.500 0.000 0.500
Cr 0.500 0.500 0.000

Computed properties:
Space-group type: C2/m, No. 12

***

Entry b
DFT (GGA-PBE) results for a relaxed LaMn2Cr crystal.

abc: 6.366 6.366 6.366
angles: 150.30 141.04 49.74
Sites, in units of the cell vectors:
La 0.000 0.000 0.000
Mn 0.259 0.759 0.500
Mn 0.615 0.615 0.000
Cr 0.746 0.246 0.500

Computed properties:
Space-group type: Imm2, No. 44

***

Entry c
DFT (GGA-PBE) results for a relaxed LaMn2Cr crystal.

abc: 4.407 4.407 4.407
angles: 60.00 60.00 60.00
Sites, in units of the cell vectors:
La 0.000 0.000 0.000
Mn 0.250 0.250 0.250
Mn 0.750 0.750 0.750
Cr 0.500 0.500 0.500

Computed properties:
Space-group type: Fm-3m, No. 225

***

Quick look at relative energies in kJ/mol of atoms: entry a 4.2; entry b 0.0; entry c 24.1.

***

Entry a
DFT (GGA-PBE) results for a relaxed LaMn2Cr crystal.

abc: 8.212 8.212 8.212
angles: 147.64 147.64 46.41
Sites, in units of the cell vectors:
La 0.375 0.625 0.750
La 0.625 0.375 0.250
Mn 0.000 0.000 0.000
Mn 0.000 0.000 0.500
Mn 0.000 0.500 0.000
Mn 0.500 0.000 0.500
Cr 0.125 0.875 0.250
Cr 0.875 0.125 0.750

Computed properties:
Space-group type: I4_1/amd, No. 141

***

Entry b
DFT (GGA-PBE) results for a relaxed LaMn2Cr crystal.

abc: 9.240 9.240 9.240
angles: 18.95 18.95 18.95
Sites, in units of the cell vectors:
La 0.000 0.000 0.000
Mn 0.232 0.232 0.232
Mn 0.768 0.768 0.768
Cr 0.500 0.500 0.500

Computed properties:
Space-group type: R-3m, No. 166

***

Entry c
DFT (GGA-PBE) results for a relaxed LaMn2Cr crystal.

abc: 4.752 4.752 4.752
angles: 120.10 120.10 89.82
Sites, in units of the cell vectors:
La 0.000 0.000 0.000
Mn 0.250 0.750 0.500
Mn 0.500 0.500 0.000
Cr 0.750 0.250 0.500

Computed properties:
Space-group type: I-4m2, No. 119

***

Entry d
DFT (GGA-PBE) results for a relaxed LaMn2Cr crystal.

abc: 9.242 9.242 9.242
angles: 19.16 19.16 19.16
Sites, in units of the cell vectors:
La 0.000 0.000 0.000
Mn 0.501 0.501 0.501
Mn 0.768 0.768 0.768
Cr 0.231 0.231 0.231

Computed properties:
Space-group type: R3m, No. 160

***

Quick look at relative energies in kJ/mol of atoms: entry a 19.0; entry b 12.7; entry c 0.0; entry d 16.2.

***

Entry a
DFT (GGA-PBE) results for a relaxed LaMn2Cr crystal.

abc: 3.061 3.061 7.481
angles: 90.00 90.00 90.00
Sites, in units of the cell vectors:
La 0.000 0.000 0.000
Mn 0.500 0.500 0.321
Mn 0.500 0.500 0.679
Cr 0.000 0.000 0.500

Computed properties:
Space-group type: P4/mmm, No. 123

***

Entry b
DFT (GGA-PBE) results for a relaxed LaMn2Cr crystal.

abc: 4.220 4.220 4.207
angles: 90.00 90.00 90.00
Sites, in units of the cell vectors:
La 0.000 0.000 0.000
Mn 0.000 0.500 0.500
Mn 0.500 0.000 0.500
Cr 0.500 0.500 0.000

Computed properties:
Space-group type: P4/mmm, No. 123

***

Quick look at relative energies in kJ/mol of atoms: entry a 0.0; entry b 36.4.

***

Entry a
DFT (GGA-PBE) results for a relaxed La2MnCr crystal.

abc: 6.088 6.088 6.088
angles: 104.40 104.40 120.18
Sites, in units of the cell vectors:
La 0.106 0.625 0.981
La 0.375 0.356 0.481
La 0.644 0.125 0.019
La 0.875 0.894 0.519
Mn 0.000 0.000 0.000
Mn 0.750 0.250 0.500
Cr 0.250 0.750 0.500
Cr 0.500 0.500 0.000

Computed properties:
Space-group type: I-42d, No. 122

***

Entry b
DFT (GGA-PBE) results for a relaxed La2MnCr crystal.

abc: 5.230 5.230 3.714
angles: 90.20 90.20 90.23
Sites, in units of the cell vectors:
La 0.000 0.500 0.000
La 0.500 0.000 0.000
Mn 0.000 0.000 0.500
Cr 0.500 0.500 0.500

Computed properties:
Space-group type: C2/m, No. 12

***

Quick look at relative energies in kJ/mol of atoms: entry a 69.1; entry b 0.0.

***

Entry a
DFT (GGA-PBE) results for a relaxed La2MnCr crystal.

abc: 8.220 8.220 8.220
angles: 27.10 27.10 27.10
Sites, in units of the cell vectors:
La 0.000 0.000 0.000
La 0.184 0.184 0.184
Mn 0.750 0.750 0.750
Cr 0.432 0.432 0.432

Computed properties:
Space-group type: R3m, No. 160

***

Entry b
DFT (GGA-PBE) results for a relaxed La2MnCr crystal.

abc: 3.199 3.687 8.087
angles: 90.00 97.92 90.00
Sites, in units of the cell vectors:
La 0.000 0.000 0.000
La 0.274 0.500 0.569
Mn 0.464 0.500 0.239
Cr 0.794 0.000 0.325

Computed properties:
Space-group type: Pm, No. 6

***

Quick look at relative energies in kJ/mol of atoms: entry a 0.0; entry b 14.2.

***

Entry a
DFT (GGA-PBE) results for a relaxed La2MnCr crystal.

abc: 9.605 9.605 9.605
angles: 21.45 21.45 21.45
Sites, in units of the cell vectors:
La 0.249 0.249 0.249
La 0.751 0.751 0.751
Mn 0.000 0.000 0.000
Cr 0.500 0.500 0.500

Computed properties:
Space-group type: R-3m, No. 166

***

Entry b
DFT (GGA-PBE) results for a relaxed La2MnCr crystal.

abc: 5.136 5.136 5.136
angles: 60.00 60.00 60.00
Sites, in units of the cell vectors:
La 0.000 0.000 0.000
La 0.250 0.250 0.250
Mn 0.500 0.500 0.500
Cr 0.750 0.750 0.750

Computed properties:
Space-group type: F-43m, No. 216

***

Entry c
DFT (GGA-PBE) results for a relaxed La2MnCr crystal.

abc: 3.256 3.256 8.960
angles: 90.00 90.00 90.00
Sites, in units of the cell vectors:
La 0.000 0.000 0.000
La 0.500 0.500 0.367
Mn 0.000 0.000 0.625
Cr 0.500 0.500 0.736

Computed properties:
Space-group type: P4mm, No. 99

***

Quick look at relative energies in kJ/mol of atoms: entry a 31.0; entry b 15.5; entry c 0.0.

***

Entry a
DFT (GGA-PBE) results for a relaxed La2MnCr crystal.

abc: 6.375 6.375 6.375
angles: 147.41 133.99 57.51
Sites, in units of the cell vectors:
La 0.000 0.000 0.000
La 0.715 0.215 0.500
Mn 0.290 0.790 0.500
Cr 0.423 0.423 0.000

Computed properties:
Space-group type: Imm2, No. 44

***

Entry b
DFT (GGA-PBE) results for a relaxed La2MnCr crystal.

abc: 6.112 6.112 6.112
angles: 137.93 137.93 61.01
Sites, in units of the cell vectors:
La 0.000 0.000 0.000
La 0.750 0.250 0.500
Mn 0.250 0.750 0.500
Cr 0.500 0.500 0.000

Computed properties:
Space-group type: I-4m2, No. 119

***

Entry c
DFT (GGA-PBE) results for a relaxed La2MnCr crystal.

abc: 5.247 5.247 5.247
angles: 60.00 60.00 60.00
Sites, in units of the cell vectors:
La 0.250 0.250 0.250
La 0.750 0.750 0.750
Mn 0.000 0.000 0.000
Cr 0.500 0.500 0.500

Computed properties:
Space-group type: Fm-3m, No. 225

***

Quick look at relative energies in kJ/mol of atoms: entry a 0.0; entry b 19.9; entry c 6.1.

***

Entry a
DFT (GGA-PBE) results for a relaxed LaMnCr crystal.

abc: 6.294 6.294 6.294
angles: 150.65 150.65 41.99
Sites, in units of the cell vectors:
La 0.000 0.000 0.000
Mn 0.290 0.290 0.000
Cr 0.715 0.715 0.000

Computed properties:
Space-group type: I4mm, No. 107

***

Entry b
DFT (GGA-PBE) results for a relaxed LaMnCr crystal.

abc: 4.632 4.632 4.632
angles: 60.00 60.00 60.00
Sites, in units of the cell vectors:
La 0.000 0.000 0.000
Mn 0.250 0.250 0.250
Cr 0.500 0.500 0.500

Computed properties:
Space-group type: F-43m, No. 216

***

Entry c
DFT (GGA-PBE) results for a relaxed LaMnCr crystal.

abc: 4.766 4.766 4.766
angles: 60.00 60.00 60.00
Sites, in units of the cell vectors:
La 0.000 0.000 0.000
Mn 0.750 0.750 0.750
Cr 0.250 0.250 0.250

Computed properties:
Space-group type: F-43m, No. 216

***

Entry d
DFT (GGA-PBE) results for a relaxed LaMnCr crystal.

abc: 4.071 4.071 4.729
angles: 90.00 90.00 120.00
Sites, in units of the cell vectors:
La 0.000 0.000 0.000
Mn 0.667 0.333 0.500
Cr 0.333 0.667 0.500

Computed properties:
Space-group type: P-6m2, No. 187

***

Quick look at relative energies in kJ/mol of atoms: entry a 0.0; entry b 28.2; entry c 81.1; entry d 1.1.

***

Entry a
DFT (GGA-PBE) results for a relaxed LaCrMo crystal.

abc: 3.159 3.159 6.957
angles: 90.00 90.00 120.00
Sites, in units of the cell vectors:
La 0.000 0.000 0.000
Cr 0.333 0.667 0.622
Mo 0.667 0.333 0.400

Computed properties:
Space-group type: P3m1, No. 156

***

Entry b
DFT (GGA-PBE) results for a relaxed LaCrMo crystal.

abc: 6.335 6.335 6.335
angles: 150.81 150.81 41.76
Sites, in units of the cell vectors:
La 0.000 0.000 0.000
Cr 0.298 0.298 0.000
Mo 0.707 0.707 0.000

Computed properties:
Space-group type: I4mm, No. 107

***

Quick look at relative energies in kJ/mol of atoms: entry a 24.4; entry b 0.0.

***

Entry a
DFT (GGA-PBE) results for a relaxed LaCrMo crystal.

abc: 7.553 7.282 3.011
angles: 83.38 73.29 23.33
Sites, in units of the cell vectors:
La 0.000 0.000 0.000
Cr 0.318 0.318 0.682
Mo 0.697 0.697 0.303

Computed properties:
Space-group type: Fmm2, No. 42

***

Entry b
DFT (GGA-PBE) results for a relaxed LaCrMo crystal.

abc: 4.584 4.584 4.584
angles: 60.00 60.00 60.00
Sites, in units of the cell vectors:
La 0.000 0.000 0.000
Cr 0.500 0.500 0.500
Mo 0.250 0.250 0.250

Computed properties:
Space-group type: F-43m, No. 216

***

Entry c
DFT (GGA-PBE) results for a relaxed LaCrMo crystal.

abc: 3.988 3.988 4.953
angles: 90.00 90.00 120.00
Sites, in units of the cell vectors:
La 0.000 0.000 0.000
Cr 0.667 0.333 0.500
Mo 0.333 0.667 0.500

Computed properties:
Space-group type: P-6m2, No. 187

***

Entry d
DFT (GGA-PBE) results for a relaxed LaCrMo crystal.

abc: 4.700 4.700 4.700
angles: 60.00 60.00 60.00
Sites, in units of the cell vectors:
La 0.000 0.000 0.000
Cr 0.250 0.250 0.250
Mo 0.750 0.750 0.750

Computed properties:
Space-group type: F-43m, No. 216

***

Quick look at relative energies in kJ/mol of atoms: entry a 6.0; entry b 30.8; entry c 0.0; entry d 96.8.